No. 1
# LaBeCd, relaxed, DFT PBE
# Crystal system: cubic
# Energy (eV per atom): -2.55
data_LaBeCd
_chemical_formula_sum 'La4 Be4 Cd4'
_cell_length_a 7.0312
_cell_length_b 7.0312
_cell_length_c 7.0312
_cell_angle_alpha 90.00
_cell_angle_beta 90.00
_cell_angle_gamma 90.00
_symmetry_space_group_name_H-M 'F -4 3 m'
_symmetry_Int_Tables_number 216
_symmetry_space_group_name_Hall 'F -4 2 3'
loop_
_atom_site_label
_atom_site_fract_x
_atom_site_fract_y
_atom_site_fract_z
_atom_site_occupancy
La1 0.0000 0.0000 0.0000 1
Be1 0.2500 0.2500 0.7500 1
Cd1 0.2500 0.2500 0.2500 1

No. 2
# LaBeCd, relaxed, DFT PBE
# Crystal system: cubic
# Energy (eV per atom): -3.11
data_LaBeCd
_chemical_formula_sum 'La4 Be4 Cd4'
_cell_length_a 6.6462
_cell_length_b 6.6462
_cell_length_c 6.6462
_cell_angle_alpha 90.00
_cell_angle_beta 90.00
_cell_angle_gamma 90.00
_symmetry_space_group_name_H-M 'F -4 3 m'
_symmetry_Int_Tables_number 216
_symmetry_space_group_name_Hall 'F -4 2 3'
loop_
_atom_site_label
_atom_site_fract_x
_atom_site_fract_y
_atom_site_fract_z
_atom_site_occupancy
La1 0.0000 0.0000 0.0000 1
Be1 0.2500 0.2500 0.7500 1
Cd1 0.0000 0.0000 0.5000 1

No. 3
# Li2Be2Cd3, relaxed, DFT PBE
# Crystal system: trigonal
# Energy (eV per atom): -1.87
data_Li2Be2Cd3
_chemical_formula_sum 'Li6 Be6 Cd9'
_cell_length_a 4.2886
_cell_length_b 4.2886
_cell_length_c 20.5501
_cell_angle_alpha 90.00
_cell_angle_beta 90.00
_cell_angle_gamma 120.00
_symmetry_space_group_name_H-M 'R 3 m'
_symmetry_Int_Tables_number 160
_symmetry_space_group_name_Hall 'R 3 -2"'
loop_
_atom_site_label
_atom_site_fract_x
_atom_site_fract_y
_atom_site_fract_z
_atom_site_occupancy
Li1 0.0000 0.0000 0.0000 1
Li2 0.0000 0.0000 0.3843 1
Be1 0.0000 0.0000 0.1306 1
Be2 0.0000 0.0000 0.6396 1
Cd1 0.0000 0.0000 0.2586 1
Cd2 0.0000 0.0000 0.5152 1
Cd3 0.0000 0.0000 0.7621 1

No. 4
# Li2BeCd, relaxed, DFT PBE
# Crystal system: cubic
# Energy (eV per atom): -2.09
data_Li2BeCd
_chemical_formula_sum 'Li8 Be4 Cd4'
_cell_length_a 6.0237
_cell_length_b 6.0237
_cell_length_c 6.0237
_cell_angle_alpha 90.00
_cell_angle_beta 90.00
_cell_angle_gamma 90.00
_symmetry_space_group_name_H-M 'F -4 3 m'
_symmetry_Int_Tables_number 216
_symmetry_space_group_name_Hall 'F -4 2 3'
loop_
_atom_site_label
_atom_site_fract_x
_atom_site_fract_y
_atom_site_fract_z
_atom_site_occupancy
Li1 0.0000 0.0000 0.0000 1
Li2 0.2500 0.2500 0.2500 1
Be1 0.0000 0.0000 0.5000 1
Cd1 0.2500 0.2500 0.7500 1

No. 5
# Lu2BeCd, relaxed, DFT PBE
# Crystal system: cubic
# Energy (eV per atom): -3.11
data_Lu2BeCd
_chemical_formula_sum 'Lu8 Be4 Cd4'
_cell_length_a 7.0307
_cell_length_b 7.0307
_cell_length_c 7.0307
_cell_angle_alpha 90.00
_cell_angle_beta 90.00
_cell_angle_gamma 90.00
_symmetry_space_group_name_H-M 'F -4 3 m'
_symmetry_Int_Tables_number 216
_symmetry_space_group_name_Hall 'F -4 2 3'
loop_
_atom_site_label
_atom_site_fract_x
_atom_site_fract_y
_atom_site_fract_z
_atom_site_occupancy
Lu1 0.0000 0.0000 0.0000 1
Lu2 0.2500 0.2500 0.2500 1
Be1 0.0000 0.0000 0.5000 1
Cd1 0.2500 0.2500 0.7500 1

No. 6
# LuBeCd, relaxed, DFT PBE
# Crystal system: cubic
# Energy (eV per atom): -2.36
data_LuBeCd
_chemical_formula_sum 'Lu4 Be4 Cd4'
_cell_length_a 6.5943
_cell_length_b 6.5943
_cell_length_c 6.5943
_cell_angle_alpha 90.00
_cell_angle_beta 90.00
_cell_angle_gamma 90.00
_symmetry_space_group_name_H-M 'F -4 3 m'
_symmetry_Int_Tables_number 216
_symmetry_space_group_name_Hall 'F -4 2 3'
loop_
_atom_site_label
_atom_site_fract_x
_atom_site_fract_y
_atom_site_fract_z
_atom_site_occupancy
Lu1 0.0000 0.0000 0.0000 1
Be1 0.2500 0.2500 0.7500 1
Cd1 0.2500 0.2500 0.2500 1

No. 7
# MgBeCd2, relaxed, DFT PBE
# Crystal system: cubic
# Energy (eV per atom): -1.47
data_MgBeCd2
_chemical_formula_sum 'Mg4 Be4 Cd8'
_cell_length_a 6.6007
_cell_length_b 6.6007
_cell_length_c 6.6007
_cell_angle_alpha 90.00
_cell_angle_beta 90.00
_cell_angle_gamma 90.00
_symmetry_space_group_name_H-M 'F -4 3 m'
_symmetry_Int_Tables_number 216
_symmetry_space_group_name_Hall 'F -4 2 3'
loop_
_atom_site_label
_atom_site_fract_x
_atom_site_fract_y
_atom_site_fract_z
_atom_site_occupancy
Mg1 0.0000 0.0000 0.0000 1
Be1 0.2500 0.2500 0.7500 1
Cd1 0.0000 0.0000 0.5000 1
Cd2 0.2500 0.2500 0.2500 1

No. 8
# Be3Cd2Mo2, relaxed, DFT PBE
# Crystal system: trigonal
# Energy (eV per atom): -4.42
data_Be3Cd2Mo2
_chemical_formula_sum 'Be9 Cd6 Mo6'
_cell_length_a 4.1330
_cell_length_b 4.1330
_cell_length_c 20.1644
_cell_angle_alpha 90.00
_cell_angle_beta 90.00
_cell_angle_gamma 120.00
_symmetry_space_group_name_H-M 'R 3 m'
_symmetry_Int_Tables_number 160
_symmetry_space_group_name_Hall 'R 3 -2"'
loop_
_atom_site_label
_atom_site_fract_x
_atom_site_fract_y
_atom_site_fract_z
_atom_site_occupancy
Be1 0.0000 0.0000 0.0000 1
Be2 0.0000 0.0000 0.2502 1
Be3 0.0000 0.0000 0.7489 1
Cd1 0.0000 0.0000 0.3790 1
Cd2 0.0000 0.0000 0.8716 1
Mo1 0.0000 0.0000 0.1280 1
Mo2 0.0000 0.0000 0.6217 1